[1]
Material: FeHgB2
Method: DFT, PBE-GGA
State: optimized geometry

Total magnetization, μB per formula unit: 0.0
ΔE_f, kcal/mol of atoms: 12.79
Offset from the most stable computed form, meV/atom: 0
Space group: I4_1/amd

a = 3.772 Å, b = 3.772 Å, c = 7.388 Å
α = 75.21°, β = 75.21°, γ = 90.00°
Atoms (fractional coordinates):
B 0.375 0.125 0.250
B 0.375 0.625 0.250
B 0.375 0.625 0.750
B 0.875 0.625 0.750
Hg 0.000 0.000 0.000
Hg 0.750 0.250 0.500
Fe 0.500 0.500 0.000
Fe 0.250 0.750 0.500

[2]
Material: CuPIF2
Method: DFT, PBE-GGA
State: optimized geometry

E_form (uncorrected), eV/atom: -0.62
Total magnetization, μB per formula unit: 0.0
Space group: P4/mmm

a = 3.959 Å, b = 5.206 Å, c = 3.959 Å
α = 90.00°, β = 90.00°, γ = 90.00°
Atoms (fractional coordinates):
I 0.500 0.500 0.500
P 0.000 0.500 0.000
Cu 0.000 0.000 0.000
F 0.000 0.000 0.500
F 0.500 0.000 0.000

[3]
Material: CaTb4S6
Method: DFT, PBE-GGA
State: optimized geometry

E_form (uncorrected), eV/atom: -2.06
Total magnetization, μB per formula unit: 0.0
Space group: Cmcm

a = 3.903 Å, b = 6.779 Å, c = 20.094 Å
α = 90.00°, β = 90.00°, γ = 106.73°
Atoms (fractional coordinates):
Ca 0.657 0.314 0.250
Ca 0.343 0.686 0.750
Tb 0.863 0.725 0.541
Tb 0.406 0.812 0.131
Tb 0.137 0.275 0.459
Tb 0.594 0.188 0.869
Tb 0.863 0.725 0.959
Tb 0.137 0.275 0.041
Tb 0.594 0.188 0.631
Tb 0.406 0.812 0.369
S 0.500 0.000 0.000
S 0.500 0.000 0.500
S 0.045 0.091 0.336
S 0.955 0.909 0.664
S 0.955 0.909 0.836
S 0.045 0.091 0.164
S 0.771 0.542 0.414
S 0.229 0.458 0.586
S 0.229 0.458 0.914
S 0.771 0.542 0.086
S 0.311 0.621 0.250
S 0.689 0.379 0.750

[4]
Material: ZrCoSe2Cl
Method: DFT, PBE-GGA
State: optimized geometry

E_form (uncorrected), eV/atom: -0.14
Total magnetization, μB per formula unit: 0.0
Space group: P4/mmm

a = 4.734 Å, b = 4.324 Å, c = 4.734 Å
α = 90.00°, β = 90.00°, γ = 90.00°
Atoms (fractional coordinates):
Co 0.000 0.000 0.000
Se 0.000 0.000 0.500
Se 0.500 0.000 0.000
Zr 0.500 0.500 0.500
Cl 0.000 0.500 0.000

[5]
Material: ZnInTeI2
Method: DFT, PBE-GGA
State: optimized geometry

E_form (uncorrected), eV/atom: 0.17
Total magnetization, μB per formula unit: 0.0
Offset from the most stable computed form, meV/atom: 275
Space group: P4/mmm

a = 5.898 Å, b = 5.898 Å, c = 5.816 Å
α = 90.00°, β = 90.00°, γ = 90.00°
Atoms (fractional coordinates):
I 0.000 0.500 0.000
I 0.500 0.000 0.000
Zn 0.500 0.500 0.500
Te 0.000 0.000 0.500
In 0.000 0.000 0.000

[6]
Material: Rb2NbHgSe4
Method: DFT, PBE-GGA
State: optimized geometry

E_form (uncorrected), eV/atom: -0.78
Total magnetization, μB per formula unit: 0.0
Space group: Fddd

a = 6.965 Å, b = 7.766 Å, c = 12.714 Å
α = 82.94°, β = 74.10°, γ = 63.36°
Atoms (fractional coordinates):
Rb 0.181 0.000 0.639
Rb 0.819 0.000 0.361
Rb 0.569 0.500 0.861
Rb 0.931 0.500 0.139
Nb 0.250 0.500 0.500
Nb 0.500 0.000 0.000
Hg 0.750 0.500 0.500
Hg 0.000 0.000 0.000
Se 0.332 0.800 0.112
Se 0.244 0.200 0.888
Se 0.868 0.800 0.888
Se 0.556 0.200 0.112
Se 0.418 0.700 0.388
Se 0.506 0.300 0.612
Se 0.882 0.700 0.612
Se 0.194 0.300 0.388